Record 1
PBEsol ScIrO2, optimized geometry; final energy = -8.6717 eV per atom; symmetry = R-3m, No. 166; calculated volume = 12.2 A^3/atom; formation energy from raw total energies = -7.760 eV per formula unit
1.0
3.010 0.000 0.000
1.505 2.607 0.000
1.505 0.869 6.212
O Ir Sc
2 1 1
direct
0.892 0.892 0.323
0.108 0.108 0.677
0.000 0.000 0.000
0.500 0.500 0.500

Record 2
PBEsol MnCdIn, optimized geometry; final energy = -4.2597 eV per atom; symmetry = F-43m, No. 216; energy of formation = 0.387 eV per atom; calculated volume = 21.1 A^3/atom
1.0
4.470 0.000 0.000
2.235 3.871 0.000
2.235 1.290 3.650
Mn In Cd
1 1 1
direct
0.250 0.250 0.250
0.500 0.500 0.500
0.000 0.000 0.000

Record 3
PBEsol CaTlI2N, optimized geometry; final energy = -3.5233 eV per atom; symmetry = P4/mmm, No. 123; calculated volume = 34.0 A^3/atom; formation energy from raw total energies = -0.793 eV per formula unit
1.0
-1.360 4.226 1.076
-5.206 -2.246 2.243
2.604 -0.559 5.485
N Tl I Ca
1 1 2 1
direct
0.500 0.000 0.000
0.500 0.500 0.500
0.000 0.000 0.500
0.000 0.500 0.000
0.000 0.000 0.000

Record 4
PBEsol Mn3CrS, optimized geometry; final energy = -8.3443 eV per atom; symmetry = Pm-3m, No. 221; calculated volume = 13.4 A^3/atom; formation energy from raw total energies = 2.188 eV per formula unit
1.0
4.059 0.000 0.000
0.000 4.059 0.000
0.000 0.000 4.059
Cr S Mn
1 1 3
direct
0.500 0.500 0.500
0.000 0.000 0.000
0.000 0.500 0.000
0.500 0.000 0.000
0.000 0.000 0.500

Record 5
PBEsol Cu3As, optimized geometry; final energy = -4.4815 eV per atom; symmetry = I4/mmm, No. 139; energy of formation = 0.046 eV per atom; calculated volume = 12.6 A^3/atom
1.0
3.661 0.000 0.000
0.000 3.661 0.000
-1.830 -1.830 3.757
Cu As
3 1
direct
0.500 0.500 0.000
0.750 0.250 0.500
0.250 0.750 0.500
0.000 0.000 0.000

Record 6
PBEsol MnGa2Se4, optimized geometry; final energy = -5.0361 eV per atom; symmetry = I-4, No. 82; calculated volume = 24.0 A^3/atom; formation energy from raw total energies = -3.411 eV per formula unit
1.0
-1.865 5.037 1.519
-3.745 -2.402 3.371
6.381 -1.214 1.602
Mn Se Ga
1 4 2
direct
0.000 0.000 0.000
0.893 0.866 0.270
0.134 0.623 0.730
0.377 0.405 0.270
0.595 0.107 0.730
0.500 0.500 0.000
0.750 0.250 0.500